[1]
TaBi2Au: PBEsol geometry, meta-GGA SCAN.

The structure belongs to space group I-42d (No. 122); the cell edges are 6.4142, 6.4142 and 12.6069 Å and the angles 90.00°, 90.00° and 90.00°. The asymmetric unit holds Ta at (0.0000, 0.0000, 0.0000), Bi at (0.2451, 0.2500, 0.1250) and Au at (0.0000, 0.0000, 0.5000).

Its final energy is -72.436 eV/atom.



[2]
LiTa3P: PBEsol geometry, meta-GGA SCAN.

The structure belongs to space group Pm-3m (No. 221); the cell edges are 4.5893, 4.5893 and 4.5893 Å and the angles 90.00°, 90.00° and 90.00°. The asymmetric unit holds Li at (0.0000, 0.0000, 0.0000), Ta at (0.0000, 0.5000, 0.5000) and P at (0.5000, 0.5000, 0.5000).

Its final energy is -41.922 eV/atom.



[3]
Re2Au: PBEsol geometry, meta-GGA SCAN.

The structure belongs to space group Immm (No. 71); the cell edges are 2.7588, 3.9552 and 8.3180 Å and the angles 90.00°, 90.00° and 90.00°. The asymmetric unit holds Re at (0.0000, 0.0000, 0.1731) and Au at (0.0000, 0.0000, 0.5000).

The calculation puts the offset from the most stable computed form at 0.000 eV per atom.



[4]
Mg2CoMo: PBEsol geometry, meta-GGA SCAN.

The structure belongs to space group Cm (No. 8); the cell edges are 8.6353, 2.7484 and 5.2814 Å and the angles 90.00°, 97.44° and 90.00°. The asymmetric unit holds Mg at (0.0000, 0.0000, 0.0000), Mg at (0.2353, 0.0000, 0.7327), Co at (0.0009, 0.5000, 0.4400) and Mo at (0.2567, 0.5000, 0.2770).

The calculation puts the offset from the most stable computed form at 0.082 eV per atom.